(1)
The following is a PBE-GGA calculation of Pr5Er4Tm4 after structural relaxation, from the Alexandria database.

The structure in POSCAR format:
```
Pr5Er4Tm4
1.0
-6.466 6.466 2.527
6.466 -6.466 2.527
6.466 6.466 -2.527
Pr Er Tm
5 4 4
direct
0.000 0.000 0.000 Pr
0.304 0.539 0.843 Pr
0.461 0.304 0.765 Pr
0.539 0.696 0.235 Pr
0.696 0.461 0.157 Pr
0.076 0.386 0.462 Er
0.386 0.924 0.311 Er
0.614 0.076 0.689 Er
0.924 0.614 0.538 Er
0.155 0.766 0.921 Tm
0.234 0.155 0.389 Tm
0.766 0.845 0.611 Tm
0.845 0.234 0.079 Tm
```

For the energy, the calculation gives -4.591 eV per atom. For the formation energy, the calculation gives 2.58 kJ/mol of atoms. For the calculated density, the calculation gives 8.054 g/cm3. The calculation puts the density of states at the Fermi level at 19.2 states/eV/cell. Its symmetry is I4/m, No. 87. The calculation puts the magnetization at 0.00 μB per formula unit.

=====

(2)
The following is a PBE-GGA calculation of Cr2Pb after structural relaxation, from the Alexandria database.

The structure in POSCAR format:
```
Cr2Pb
1.0
0.000 3.631 3.631
3.631 0.000 3.631
3.631 3.631 0.000
Cr Pb
4 2
direct
0.000 0.000 0.000 Cr
0.000 0.000 0.500 Cr
0.000 0.500 0.000 Cr
0.500 0.000 0.000 Cr
0.375 0.375 0.375 Pb
0.625 0.625 0.625 Pb
```

For the energy, the calculation gives -6.904 eV per atom. For the formation energy, the calculation gives 72.12 kJ/mol of atoms. For the calculated density, the calculation gives 10.796 g/cm3. The calculation puts the density of states at the Fermi level at 8.0 states/eV/cell. Its symmetry is Fd-3m, No. 227. The calculation puts the magnetization at 0.71 μB per formula unit. The calculation puts the polymorph energy (0 for the lowest one) at 316.6 meV per atom.

=====

(3)
The following is a PBE-GGA calculation of Pm3SmSn3 after structural relaxation, from the Alexandria database.

The structure in POSCAR format:
```
Pm3SmSn3
1.0
4.686 2.705 6.314
-4.686 2.705 6.314
0.000 -5.411 6.314
Pm Sm Sn
6 2 6
direct
0.100 0.365 0.813 Pm
0.187 0.900 0.635 Pm
0.365 0.813 0.100 Pm
0.635 0.187 0.900 Pm
0.813 0.100 0.365 Pm
0.900 0.635 0.187 Pm
0.333 0.333 0.333 Sm
0.667 0.667 0.667 Sm
0.070 0.702 0.453 Sn
0.298 0.547 0.930 Sn
0.453 0.070 0.702 Sn
0.547 0.930 0.298 Sn
0.702 0.453 0.070 Sn
0.930 0.298 0.547 Sn
```

For the energy, the calculation gives -4.990 eV per atom. For the formation energy, the calculation gives -54.49 kJ/mol of atoms. For the calculated density, the calculation gives 6.511 g/cm3. The calculation puts the density of states at the Fermi level at 9.6 states/eV/cell. Its symmetry is R-3, No. 148. The calculation puts the magnetization at 0.08 μB per formula unit.

=====

(4)
The following is a PBE-GGA calculation of Pm4SmCu5 after structural relaxation, from the Alexandria database.

The structure in POSCAR format:
```
Pm4SmCu5
1.0
3.548 0.000 0.000
0.000 3.548 0.000
0.000 0.000 17.953
Pm Sm Cu
4 1 5
direct
0.000 0.000 0.100 Pm
0.000 0.000 0.301 Pm
0.000 0.000 0.699 Pm
0.000 0.000 0.900 Pm
0.000 0.000 0.500 Sm
0.500 0.500 0.000 Cu
0.500 0.500 0.200 Cu
0.500 0.500 0.402 Cu
0.500 0.500 0.598 Cu
0.500 0.500 0.800 Cu
```

For the energy, the calculation gives -4.588 eV per atom. For the formation energy, the calculation gives -16.16 kJ/mol of atoms. For the calculated density, the calculation gives 7.701 g/cm3. The calculation puts the density of states at the Fermi level at 6.6 states/eV/cell. Its symmetry is P4/mmm, No. 123. The calculation puts the magnetization at 0.00 μB per formula unit.

=====

(5)
The following is a PBE-GGA calculation of SrLiGa2Ag4 after structural relaxation, from the Alexandria database.

The structure in POSCAR format:
```
SrLiGa2Ag4
1.0
2.279 1.316 8.988
-2.279 1.316 8.988
0.000 -2.631 8.988
Sr Li Ga Ag
1 1 2 4
direct
0.000 0.000 0.000 Sr
0.500 0.500 0.500 Li
0.240 0.240 0.240 Ga
0.760 0.760 0.760 Ga
0.134 0.134 0.134 Ag
0.406 0.406 0.406 Ag
0.594 0.594 0.594 Ag
0.866 0.866 0.866 Ag
```

For the energy, the calculation gives -2.850 eV per atom. For the formation energy, the calculation gives -21.05 kJ/mol of atoms. For the calculated density, the calculation gives 6.834 g/cm3. The calculation puts the density of states at the Fermi level at 3.3 states/eV/cell. Its symmetry is R-3m, No. 166. The calculation puts the magnetization at 0.00 μB per formula unit.

=====

(6)
The following is a PBE-GGA calculation of KCdGa2 after structural relaxation, from the Alexandria database.

The structure in POSCAR format:
```
KCdGa2
1.0
3.561 0.000 0.000
0.000 3.561 0.000
0.000 0.000 8.173
K Cd Ga
1 1 2
direct
0.000 0.000 0.000 K
0.000 0.000 0.500 Cd
0.500 0.500 0.308 Ga
0.500 0.500 0.692 Ga
```

For the energy, the calculation gives -2.011 eV per atom. For the formation energy, the calculation gives 0.55 kJ/mol of atoms. For the calculated density, the calculation gives 4.661 g/cm3. The calculation puts the density of states at the Fermi level at 1.0 states/eV/cell. Its symmetry is P4/mmm, No. 123. The calculation puts the magnetization at 0.00 μB per formula unit.

=====

(7)
The following is a PBE-GGA calculation of ZrNi2Ru after structural relaxation, from the Alexandria database.

The structure in POSCAR format:
```
ZrNi2Ru
1.0
1.379 0.796 8.815
-1.379 0.796 8.815
0.000 -1.592 8.815
Zr Ni Ru
1 2 1
direct
0.000 0.000 0.000 Zr
0.244 0.244 0.244 Ni
0.756 0.756 0.756 Ni
0.500 0.500 0.500 Ru
```

For the energy, the calculation gives -7.095 eV per atom. For the formation energy, the calculation gives 24.31 kJ/mol of atoms. For the calculated density, the calculation gives 8.859 g/cm3. The calculation puts the density of states at the Fermi level at 6.0 states/eV/cell. Its symmetry is R-3m, No. 166. The calculation puts the magnetization at 0.00 μB per formula unit.

=====

(8)
The following is a PBE-GGA calculation of Y2Cu2Si after structural relaxation, from the Alexandria database.

The structure in POSCAR format:
```
Y2Cu2Si
1.0
6.815 0.000 0.000
0.000 6.815 0.000
0.000 0.000 4.180
Y Cu Si
4 4 2
direct
0.178 0.322 0.000 Y
0.322 0.822 0.000 Y
0.678 0.178 0.000 Y
0.822 0.678 0.000 Y
0.128 0.628 0.500 Cu
0.372 0.128 0.500 Cu
0.628 0.872 0.500 Cu
0.872 0.372 0.500 Cu
0.000 0.000 0.500 Si
0.500 0.500 0.500 Si
```

For the energy, the calculation gives -5.662 eV per atom. For the calculated density, the calculation gives 5.696 g/cm3. The calculation puts the density of states at the Fermi level at 8.6 states/eV/cell. Its symmetry is P4/mbm, No. 127. The calculation puts the magnetization at 0.00 μB per formula unit.

=====

(9)
The following is a PBE-GGA calculation of CoCu2Ru after structural relaxation, from the Alexandria database.

The structure in POSCAR format:
```
CoCu2Ru
1.0
-1.352 2.164 4.241
1.352 -2.164 4.241
1.352 2.164 -4.241
Co Cu Ru
1 2 1
direct
0.000 0.000 0.000 Co
0.511 0.511 0.000 Cu
0.755 0.255 0.500 Cu
0.246 0.746 0.500 Ru
```

For the energy, the calculation gives -5.857 eV per atom. For the formation energy, the calculation gives 27.69 kJ/mol of atoms. For the calculated density, the calculation gives 9.607 g/cm3. The calculation puts the density of states at the Fermi level at 3.4 states/eV/cell. Its symmetry is Imm2, No. 44. The calculation puts the magnetization at 2.19 μB per formula unit. The calculation puts the polymorph energy (0 for the lowest one) at 131.3 meV per atom.

=====

(10)
The following is a PBE-GGA calculation of HgH2Pd4 after structural relaxation, from the Alexandria database.

The structure in POSCAR format:
```
HgH2Pd4
1.0
5.082 -2.543 0.000
5.082 2.543 0.000
-2.920 0.000 6.865
Hg H Pd
2 4 8
direct
0.000 0.000 0.000 Hg
0.700 0.300 0.500 Hg
0.166 0.563 0.572 H
0.271 0.236 0.865 H
0.437 0.834 0.428 H
0.764 0.729 0.135 H
0.090 0.717 0.304 Pd
0.198 0.209 0.397 Pd
0.283 0.910 0.696 Pd
0.406 0.406 0.800 Pd
0.480 0.122 0.102 Pd
0.594 0.594 0.200 Pd
0.791 0.802 0.603 Pd
0.878 0.520 0.898 Pd
```

For the energy, the calculation gives -4.087 eV per atom. For the calculated density, the calculation gives 11.759 g/cm3. The calculation puts the density of states at the Fermi level at 5.0 states/eV/cell. Its symmetry is C2, No. 5. The calculation puts the magnetization at 0.00 μB per formula unit. The calculation puts the polymorph energy (0 for the lowest one) at 0.0 meV per atom.

=====

(11)
The following is a PBE-GGA calculation of MgBIN2 after structural relaxation, from the Alexandria database.

The structure in POSCAR format:
```
MgBIN2
1.0
3.532 0.000 0.000
0.000 3.532 0.000
0.000 0.000 6.039
Mg B I N
1 1 1 2
direct
0.000 0.000 0.000 Mg
0.500 0.500 0.500 B
0.500 0.500 0.000 I
0.000 0.500 0.500 N
0.500 0.000 0.500 N
```

For the energy, the calculation gives -3.940 eV per atom. For the calculated density, the calculation gives 4.188 g/cm3. The calculation puts the density of states at the Fermi level at 1.8 states/eV/cell. Its symmetry is P4/mmm, No. 123. The calculation puts the magnetization at 0.00 μB per formula unit. The calculation puts the polymorph energy (0 for the lowest one) at 0.0 meV per atom.

=====

(12)
The following is a PBE-GGA calculation of NaMgTaW2 after structural relaxation, from the Alexandria database.

The structure in POSCAR format:
```
NaMgTaW2
1.0
4.612 0.000 0.000
0.000 4.612 0.000
0.000 0.000 4.645
Na Mg Ta W
1 1 1 2
direct
0.000 0.000 0.000 Na
0.500 0.500 0.500 Mg
0.000 0.000 0.500 Ta
0.000 0.500 0.000 W
0.500 0.000 0.000 W
```

For the energy, the calculation gives -5.544 eV per atom. For the formation energy, the calculation gives 249.99 kJ/mol of atoms. For the calculated density, the calculation gives 10.015 g/cm3. The calculation puts the density of states at the Fermi level at 3.5 states/eV/cell. Its symmetry is P4/mmm, No. 123. The calculation puts the magnetization at 0.00 μB per formula unit.

=====

> Number 7 is which compound?

ZrNi2Ru

=====

> The highest density of states at the Fermi level belongs to which entry?

Pr5Er4Tm4